[1]
VASP calculation (PBE) on crystalline TbCeDySn at its relaxed geometry.

Cell: 5.383 5.383 5.383 Å, 60.00 60.00 60.00°
Each line ends with the local moment (μB).
Sites, in units of the cell vectors:
Tb (0.000, 0.000, 0.000)  0.07
Sn (0.250, 0.250, 0.250)  -0.02
Ce (0.750, 0.750, 0.750)  0.51
Dy (0.500, 0.500, 0.500)  0.08

Formation enthalpy at 0 K   -19 kJ/mol of atoms
Raw total energy   -19.94 eV per cell
N(E_F)   8.04 states/eV per cell
Space group   F-43m (216)

[2]
VASP calculation (PBE) on crystalline NaSrSb2Pb at its relaxed geometry.

Cell: 4.903 9.093 9.411 Å, 80.67 74.90 74.36°
Sites, in units of the cell vectors:
Sr (0.226, 0.184, 0.364)
Sb (0.416, 0.793, 0.376)
Sb (0.584, 0.207, 0.624)
Na (0.353, 0.378, 0.916)
Pb (0.041, 0.103, 0.815)
Sb (0.184, 0.747, 0.885)
Pb (0.959, 0.897, 0.185)
Sr (0.774, 0.816, 0.636)
Sb (0.816, 0.253, 0.115)
Na (0.647, 0.622, 0.084)

Energy relative to the elements, uncorrected   -2.1 eV/f.u.
Raw total energy   -34.10 eV per cell
N(E_F)   3.46 states/eV per cell
Space group   C2/m (12)

[3]
VASP calculation (PBE) on crystalline PuSi2Sn at its relaxed geometry.

Cell: 4.579 4.579 5.348 Å, 64.66 64.66 60.00°
Each line ends with the local moment (μB).
Sites, in units of the cell vectors:
Sn (0.000, 0.000, 0.000)  -0.04
Si (0.277, 0.277, 0.170)  0.00
Si (0.723, 0.723, 0.830)  0.00
Pu (0.500, 0.500, 0.500)  5.28

Energy above the most stable polymorph in this dataset   0.264 eV/atom
Energy relative to the elements, uncorrected   0.2 eV/f.u.
Raw total energy   -29.02 eV per cell
N(E_F)   6.67 states/eV per cell
Space group   R-3m (166)

[4]
VASP calculation (PBE) on crystalline LuHfHgAu at its relaxed geometry.

Cell: 4.968 4.968 4.968 Å, 60.00 60.00 60.00°
Each line ends with the local moment (μB).
Sites, in units of the cell vectors:
Au (0.000, 0.000, 0.000)  -0.02
Hf (0.750, 0.750, 0.750)  -0.29
Hg (0.500, 0.500, 0.500)  -0.01
Lu (0.250, 0.250, 0.250)  -0.14

Formation enthalpy at 0 K   -36 kJ/mol of atoms
Raw total energy   -19.56 eV per cell
N(E_F)   3.15 states/eV per cell
Space group   F-43m (216)

- raw total energy of number 2 (NaSrSb2Pb)?
  -34.10 eV per cell

- Which of these has the lowest raw total energy?
  NaSrSb2Pb